Computed, not measured: KMg2SbMo after structural relaxation at the PBE-GGA level of DFT.

Values from the calculation:
* space group: P4/mmm (123)
* energy relative to the elements, uncorrected: 266 meV per atom

POSCAR file:
```
KMg2SbMo
1.0
-0.210 -3.669 3.893
3.722 -2.738 -2.380
3.731 2.692 2.738
Mo Sb K Mg
1 1 1 2
Direct
0.000 0.000 0.000
0.000 0.500 0.000
0.500 0.500 0.500
0.000 0.000 0.500
0.500 0.000 0.000
```



Computed, not measured: K2MgSbMo after structural relaxation at the PBE-GGA level of DFT.

Values from the calculation:
* space group: P4/mmm (123)
* energy relative to the elements, uncorrected: 914 meV per atom

POSCAR file:
```
K2MgSbMo
1.0
-0.316 4.284 5.246
1.093 -3.982 3.318
6.627 1.280 -0.647
Sb Mo K Mg
1 1 2 1
Direct
0.000 0.000 0.000
0.500 0.500 0.500
0.500 0.000 0.000
0.000 0.000 0.500
0.000 0.500 0.000
```



Computed, not measured: KMgTcMo2 after structural relaxation at the PBE-GGA level of DFT.

Values from the calculation:
* space group: P4/mmm (123)
* calculated formation energy: 14.30 eV/f.u.

POSCAR file:
```
KMgTcMo2
1.0
-2.284 -0.037 -3.944
3.909 -0.858 -2.255
-0.719 -4.477 0.459
Tc Mo Mg K
1 2 1 1
Direct
0.000 0.500 0.000
0.000 0.000 0.500
0.500 0.000 0.000
0.500 0.500 0.500
0.000 0.000 0.000
```